Record 1
Computed, not measured: a crystal of Hf6Co23 relaxed with PBEsol at the meta-GGA SCAN level of DFT.

Calculated values
Total energy (eV per atom): -26.906
Calculated density (g/cm3): 11.33
Formation enthalpy at 0 K (meV per atom): -215

a b c (Å): 7.9516 7.9516 7.9516
angles (deg): 60.00 60.00 60.00
Last column: magnetic moment on the atom in μB.
Atoms (fractional coordinates):
Co  0.5000  0.0000  0.0000  1.69
Co  0.8793  0.8793  0.3620  1.44
Co  0.5000  0.5000  0.0000  1.69
Co  0.0000  0.5000  0.5000  1.69
Co  0.8793  0.3620  0.8793  1.44
Co  0.3620  0.8793  0.8793  1.44
Co  0.6380  0.1207  0.1207  1.44
Co  0.6743  0.9770  0.6743  1.30
Co  0.3257  0.3257  0.3257  1.30
Co  0.8793  0.8793  0.8793  1.44
Co  0.5000  0.0000  0.5000  1.69
Co  0.1207  0.6380  0.1207  1.44
Co  0.1207  0.1207  0.1207  1.44
Co  0.0230  0.3257  0.3257  1.30
Co  0.6743  0.6743  0.6743  1.30
Co  0.0000  0.0000  0.5000  1.69
Co  0.3257  0.3257  0.0230  1.30
Co  0.0000  0.5000  0.0000  1.69
Co  0.1207  0.1207  0.6380  1.44
Co  0.3257  0.0230  0.3257  1.30
Co  0.6743  0.6743  0.9770  1.30
Co  0.9770  0.6743  0.6743  1.30
Co  0.0000  0.0000  0.0000  2.03
Hf  0.2894  0.7106  0.2894  -0.41
Hf  0.7106  0.2894  0.2894  -0.41
Hf  0.7106  0.7106  0.2894  -0.41
Hf  0.7106  0.2894  0.7106  -0.41
Hf  0.2894  0.2894  0.7106  -0.41
Hf  0.2894  0.7106  0.7106  -0.41

Record 2
Computed, not measured: a crystal of Hf2CoI relaxed with PBEsol at the meta-GGA SCAN level of DFT.

Calculated values
Total energy (eV per atom): -44.329
Calculated density (g/cm3): 8.49

a b c (Å): 5.9961 5.9961 7.2692
angles (deg): 114.36 114.36 90.00
Atoms (fractional coordinates):
Co  0.5000  0.5000  0.0000
Co  0.7500  0.2500  0.5000
Hf  0.1250  0.2144  0.7500
Hf  0.4644  0.8750  0.2500
Hf  0.7856  0.3750  0.2500
Hf  0.6250  0.5356  0.7500
I  0.2500  0.7500  0.5000
I  0.0000  0.0000  0.0000

Record 3
Computed, not measured: a crystal of Hf3CoI relaxed with PBEsol at the meta-GGA SCAN level of DFT.

Calculated values
Total energy (eV per atom): -46.790
Calculated density (g/cm3): 9.20

a b c (Å): 5.0691 5.0691 5.0691
angles (deg): 90.00 90.00 90.00
Last column: magnetic moment on the atom in μB.
Atoms (fractional coordinates):
Hf  0.5000  0.0000  0.0000  -0.03
Hf  0.0000  0.5000  0.0000  -0.03
Hf  0.0000  0.0000  0.5000  -0.03
I  0.0000  0.0000  0.0000  0.01
Co  0.5000  0.5000  0.5000  2.14

Record 4
Computed, not measured: a crystal of HfIn2Co relaxed with PBEsol at the meta-GGA SCAN level of DFT.

Calculated values
Total energy (eV per atom): -36.473
Calculated density (g/cm3): 10.84
Formation enthalpy at 0 K (meV per atom): 215

a b c (Å): 4.6593 4.6593 4.6593
angles (deg): 60.00 60.00 60.00
Last column: magnetic moment on the atom in μB.
Atoms (fractional coordinates):
In  0.7500  0.7500  0.7500  -0.02
In  0.2500  0.2500  0.2500  -0.02
Co  0.0000  0.0000  0.0000  1.34
Hf  0.5000  0.5000  0.5000  0.06